No. 1
An optimized crystal structure of YGa3Au. Source: the Alexandria database, functional PBE.

DOS(E_F) (states/eV/cell): 3.360
Polymorph energy (0 for the lowest one) (meV/atom): 597
ΔE_f (eV/f.u.): 0.256
Magnetic moment (μB/f.u.): 0.0

Cell lengths 4.9590, 4.9590, 4.9590 Å; angles 90.00, 90.00, 90.00 degrees
Last column: nearest neighbours and their distance in Å.
Fractional coordinates of all 5 atoms:
Y  0.5000  0.5000  0.5000  12 Ga 3.51
Au  0.0000  0.0000  0.0000  6 Ga 2.48
Ga  0.0000  0.5000  0.0000  2 Au 2.48
Ga  0.0000  0.0000  0.5000  2 Au 2.48
Ga  0.5000  0.0000  0.0000  2 Au 2.48

***

No. 2
An optimized crystal structure of Y2Ga3Au5. Source: the Alexandria database, functional PBE.

DOS(E_F) (states/eV/cell): 10.972
Polymorph energy (0 for the lowest one) (meV/atom): 26
ΔE_f (eV/f.u.): -5.731
Magnetic moment (μB/f.u.): 0.0

Cell lengths 6.0150, 8.7680, 8.7680 Å; angles 82.13, 69.94, 69.94 degrees
Last column: nearest neighbours and their distance in Å.
Fractional coordinates of all 20 atoms:
Y  0.1331  0.5923  0.1416  8 Au 3.05-3.38, 4 Ga 3.22-3.34
Y  0.6331  0.1416  0.5923  8 Au 3.05-3.38, 4 Ga 3.22-3.34
Y  0.8669  0.4077  0.8584  8 Au 3.05-3.38, 4 Ga 3.22-3.34
Y  0.3669  0.8584  0.4077  8 Au 3.05-3.38, 4 Ga 3.22-3.34
Ga  0.3665  0.5074  0.7595  5 Au 2.49-2.62
Ga  0.8665  0.7595  0.5074  5 Au 2.49-2.62
Ga  0.6335  0.4926  0.2405  5 Au 2.49-2.62
Ga  0.1335  0.2405  0.4926  5 Au 2.49-2.62
Ga  0.2500  0.0000  0.0000  6 Au 2.66-2.78
Ga  0.7500  0.0000  0.0000  6 Au 2.66-2.78
Au  0.3991  0.2611  0.9406  3 Ga 2.49-2.66
Au  0.8991  0.9406  0.2611  3 Ga 2.49-2.66
Au  0.6009  0.7389  0.0594  3 Ga 2.49-2.66
Au  0.1009  0.0594  0.7389  3 Ga 2.49-2.66
Au  0.4864  0.7636  0.7636  3 Ga 2.59-2.78, 2 Au 2.87
Au  0.5136  0.2364  0.2364  3 Ga 2.59-2.78, 2 Au 2.87
Au  0.7500  0.5000  0.5000  4 Ga 2.62
Au  0.2500  0.5000  0.5000  4 Ga 2.62
Au  0.0136  0.2364  0.2364  3 Ga 2.59-2.78, 2 Au 2.87
Au  0.9864  0.7636  0.7636  3 Ga 2.59-2.78, 2 Au 2.87

***

No. 3
An optimized crystal structure of YGa3Au2. Source: the Alexandria database, functional PBE.

DOS(E_F) (states/eV/cell): 4.378
ΔE_f (eV/f.u.): -3.063
Magnetic moment (μB/f.u.): 0.0

Cell lengths 4.3250, 8.4657, 7.6536 Å; angles 116.96, 90.00, 104.80 degrees
Last column: nearest neighbours and their distance in Å.
Fractional coordinates of all 12 atoms:
Y  0.8732  0.7464  0.9027  7 Ga 3.11-3.36, 6 Au 3.14-3.20
Y  0.1268  0.2536  0.0973  7 Ga 3.11-3.36, 6 Au 3.14-3.20
Ga  0.3177  0.6355  0.5273  4 Au 2.65-2.81
Ga  0.9603  0.9207  0.6003  1 Ga 2.43, 2 Au 2.60
Ga  0.6611  0.3222  0.8464  4 Au 2.65-2.90
Ga  0.3389  0.6778  0.1536  4 Au 2.65-2.90
Ga  0.0397  0.0793  0.3997  1 Ga 2.43, 2 Au 2.60
Ga  0.6823  0.3645  0.4727  4 Au 2.65-2.81
Au  0.4916  0.9832  0.8105  4 Ga 2.60-2.66, 1 Au 2.78
Au  0.5084  0.0168  0.1895  4 Ga 2.60-2.66, 1 Au 2.78
Au  0.7837  0.5674  0.2688  7 Ga 2.65-2.90
Au  0.2163  0.4326  0.7312  7 Ga 2.65-2.90

***

Question: Look up the ΔE_f of the third one.
Answer: -3.063 eV/f.u.

***

Question: Which formula does entry 1 have?
Answer: YGa3Au